Version i
Entry from Alexandria via LeMat-Bulk: an optimized crystal structure of Nb2As2Ru (GGA-PBE).

The structure in POSCAR format:
```
Nb2As2Ru
1.0
6.899 0.000 0.000
0.000 6.899 0.000
0.000 0.000 3.458
Nb As Ru
4 4 2
Direct
0.149 0.351 0.000 Nb
0.351 0.851 0.000 Nb
0.649 0.149 0.000 Nb
0.851 0.649 0.000 Nb
0.153 0.653 0.500 As
0.347 0.153 0.500 As
0.653 0.847 0.500 As
0.847 0.347 0.500 As
0.000 0.000 0.500 Ru
0.500 0.500 0.500 Ru
```

Computed properties:
The value obtained for the density of states at the Fermi level is 10.65 states/eV per cell. As for the symmetry: P4/mbm (127).

Version ii
Entry from Alexandria via LeMat-Bulk: an optimized crystal structure of Nb2As2Ru (GGA-PBE).

The structure in POSCAR format:
```
Nb2As2Ru
1.0
-2.194 2.194 4.969
2.194 -2.194 4.969
2.194 2.194 -4.969
Nb As Ru
2 2 1
Direct
0.250 0.750 0.500 Nb
0.750 0.250 0.500 Nb
0.118 0.118 0.000 As
0.882 0.882 0.000 As
0.500 0.500 0.000 Ru
```

Computed properties:
The value obtained for the density of states at the Fermi level is 3.28 states/eV per cell. As for the symmetry: I4/mmm (139).

Going by the energies, version i is most stable and the next is 0.569 eV/atom up.

Version i
Entry from Alexandria via LeMat-Bulk: an optimized crystal structure of NbAs2RuSe (GGA-PBE).

The structure in POSCAR format:
```
NbAs2RuSe
1.0
4.980 0.000 0.000
0.000 4.980 0.000
0.000 0.000 4.937
Nb As Ru Se
1 2 1 1
Direct
0.000 0.000 0.000 Nb
0.000 0.500 0.000 As
0.500 0.000 0.000 As
0.500 0.500 0.500 Ru
0.000 0.000 0.500 Se
```

Computed properties:
The value obtained for the density of states at the Fermi level is 3.72 states/eV per cell. As for the symmetry: P4/mmm (123).

Version ii
Entry from Alexandria via LeMat-Bulk: an optimized crystal structure of NbAs2RuSe (GGA-PBE).

The structure in POSCAR format:
```
NbAs2RuSe
1.0
4.634 0.000 0.000
0.000 4.634 0.000
0.000 0.000 5.000
Nb As Ru Se
1 2 1 1
Direct
0.000 0.000 0.000 Nb
0.000 0.500 0.500 As
0.500 0.000 0.500 As
0.500 0.500 0.500 Ru
0.500 0.500 0.000 Se
```

Computed properties:
The value obtained for the density of states at the Fermi level is 8.16 states/eV per cell. As for the symmetry: P4/mmm (123).

Going by the energies, version ii is most stable and the next is 0.075 eV/atom up.

Version i
Entry from Alexandria via LeMat-Bulk: an optimized crystal structure of NbAsS2 (GGA-PBE).

The structure in POSCAR format:
```
NbAsS2
1.0
-3.025 3.025 5.150
3.025 -3.025 5.150
3.025 3.025 -5.150
Nb As S
2 2 4
Direct
0.000 0.000 0.000 Nb
0.750 0.250 0.500 Nb
0.250 0.750 0.500 As
0.500 0.500 0.000 As
0.087 0.625 0.962 S
0.375 0.337 0.462 S
0.663 0.125 0.038 S
0.875 0.913 0.538 S
```

Computed properties:
The value obtained for the density of states at the Fermi level is 6.22 states/eV per cell. As for the symmetry: I-42d (122).

Version ii
Entry from Alexandria via LeMat-Bulk: an optimized crystal structure of NbAsS2 (GGA-PBE).

The structure in POSCAR format:
```
NbAsS2
1.0
1.634 0.943 8.377
-1.634 0.943 8.377
0.000 -1.887 8.377
Nb As S
1 1 2
Direct
0.000 0.000 0.000 Nb
0.500 0.500 0.500 As
0.398 0.398 0.398 S
0.602 0.602 0.602 S
```

Computed properties:
The value obtained for the density of states at the Fermi level is 1.65 states/eV per cell. As for the symmetry: R-3m (166).

Going by the energies, version ii is most stable and the next is 0.619 eV/atom up.

Version i
Entry from Alexandria via LeMat-Bulk: an optimized crystal structure of NbAsS2 (GGA-PBE).

The structure in POSCAR format:
```
NbAsS2
1.0
0.000 3.173 3.173
3.173 0.000 3.173
3.173 3.173 0.000
Nb As S
1 1 2
Direct
0.000 0.000 0.000 Nb
0.500 0.500 0.500 As
0.250 0.250 0.250 S
0.750 0.750 0.750 S
```

Computed properties:
The value obtained for the density of states at the Fermi level is 2.59 states/eV per cell. As for the symmetry: Fm-3m (225).

Version ii
Entry from Alexandria via LeMat-Bulk: an optimized crystal structure of NbAsS2 (GGA-PBE).

The structure in POSCAR format:
```
NbAsS2
1.0
1.684 0.973 7.985
-1.684 0.973 7.985
0.000 -1.945 7.985
Nb As S
1 1 2
Direct
0.000 0.000 0.000 Nb
0.500 0.500 0.500 As
0.099 0.099 0.099 S
0.901 0.901 0.901 S
```

Computed properties:
The value obtained for the density of states at the Fermi level is 2.88 states/eV per cell. As for the symmetry: R-3m (166).

Going by the energies, version i is most stable and the next is 0.298 eV/atom up.

Version i
Entry from Alexandria via LeMat-Bulk: an optimized crystal structure of NbAs2SeS (GGA-PBE).

The structure in POSCAR format:
```
NbAs2SeS
1.0
5.054 0.000 0.000
0.000 5.054 0.000
0.000 0.000 4.861
Nb As Se S
1 2 1 1
Direct
0.000 0.000 0.000 Nb
0.000 0.500 0.000 As
0.500 0.000 0.000 As
0.000 0.000 0.500 Se
0.500 0.500 0.500 S
```

Computed properties:
The value obtained for the density of states at the Fermi level is 6.51 states/eV per cell. As for the symmetry: P4/mmm (123).

Version ii
Entry from Alexandria via LeMat-Bulk: an optimized crystal structure of NbAs2SeS (GGA-PBE).

The structure in POSCAR format:
```
NbAs2SeS
1.0
4.707 0.000 0.000
0.000 4.707 0.000
0.000 0.000 4.638
Nb As Se S
1 2 1 1
Direct
0.000 0.000 0.000 Nb
0.000 0.500 0.500 As
0.500 0.000 0.500 As
0.500 0.500 0.000 Se
0.500 0.500 0.500 S
```

Computed properties:
The value obtained for the density of states at the Fermi level is 5.90 states/eV per cell. As for the symmetry: P4/mmm (123).

Going by the energies, version i is most stable and the next is 0.349 eV/atom up.

Version i
Entry from Alexandria via LeMat-Bulk: an optimized crystal structure of NbSb3As (GGA-PBE).

The structure in POSCAR format:
```
NbSb3As
1.0
5.334 0.000 0.000
0.000 5.334 0.000
0.000 0.000 5.334
Nb Sb As
1 3 1
Direct
0.000 0.000 0.000 Nb
0.000 0.000 0.500 Sb
0.000 0.500 0.000 Sb
0.500 0.000 0.000 Sb
0.500 0.500 0.500 As
```

Computed properties:
The value obtained for the density of states at the Fermi level is 2.78 states/eV per cell. As for the symmetry: Pm-3m (221).

Version ii
Entry from Alexandria via LeMat-Bulk: an optimized crystal structure of NbSb3As (GGA-PBE).

The structure in POSCAR format:
```
NbSb3As
1.0
5.198 0.000 0.000
0.000 5.198 0.000
0.000 0.000 5.198
Nb Sb As
1 3 1
Direct
0.000 0.000 0.000 Nb
0.000 0.500 0.500 Sb
0.500 0.000 0.500 Sb
0.500 0.500 0.000 Sb
0.500 0.500 0.500 As
```

Computed properties:
The value obtained for the density of states at the Fermi level is 7.58 states/eV per cell. As for the symmetry: Pm-3m (221).

Going by the energies, version i is most stable and the next is 0.541 eV/atom up.